Record 1
Material: La4TbY2Sc
Method: DFT, PBE
State: relaxed

Summary:
Calculated formation energy: 0.035 eV per atom
SG: Pmmm, No. 47
ρ: 5.82 g/cm³
Raw total energy: -43.319 eV/cell
Magnetic moment: 0.00 μB/f.u.

```
La4TbY2Sc
1.0
5.212 0.000 0.000
0.000 5.227 0.000
0.000 0.000 9.824
La Tb Y Sc
4 1 2 1
Direct
0.000 0.000 0.245
0.000 0.000 0.755
0.500 0.500 0.245
0.500 0.500 0.755
0.000 0.500 0.500
0.000 0.500 0.000
0.500 0.000 0.500
0.500 0.000 0.000
```

---

Record 2
Material: LaTbY2Sc
Method: DFT, PBE
State: relaxed

Summary:
Calculated formation energy: 0.040 eV per atom
SG: P2_1/m, No. 11
ρ: 5.44 g/cm³
Raw total energy: -57.237 eV/cell
Magnetic moment: 0.00 μB/f.u.

```
LaTbY2Sc
1.0
6.234 0.000 0.000
0.000 5.655 0.000
-3.082 0.000 9.010
La Tb Y Sc
2 2 4 2
Direct
0.225 0.250 0.306
0.775 0.750 0.694
0.370 0.750 0.901
0.630 0.250 0.099
0.036 0.250 0.898
0.431 0.250 0.694
0.569 0.750 0.306
0.964 0.750 0.102
0.156 0.750 0.500
0.844 0.250 0.500
```

---

Record 3
Material: La2Tb2Y4Sc
Method: DFT, PBE
State: relaxed

Summary:
Calculated formation energy: 0.016 eV per atom
SG: C2/m, No. 12
ρ: 5.68 g/cm³
Raw total energy: -51.160 eV/cell
Magnetic moment: 0.00 μB/f.u.

```
La2Tb2Y4Sc
1.0
9.332 -1.805 0.000
9.332 1.805 0.000
-4.126 0.000 8.636
La Tb Y Sc
2 2 4 1
Direct
0.162 0.162 0.497
0.838 0.838 0.503
0.353 0.353 0.837
0.647 0.647 0.163
0.020 0.020 0.832
0.315 0.315 0.165
0.685 0.685 0.835
0.980 0.980 0.168
0.500 0.500 0.500
```

---

Record 4
Material: LaTb6Y2Sc3
Method: DFT, PBE
State: relaxed

Summary:
Calculated formation energy: 0.051 eV per atom
SG: C2/m, No. 12
ρ: 6.39 g/cm³
Raw total energy: -64.019 eV/cell
Magnetic moment: 0.00 μB/f.u.

```
LaTb6Y2Sc3
1.0
3.045 -5.275 0.000
3.045 5.275 0.000
-2.029 0.000 11.374
La Tb Y Sc
1 6 2 3
Direct
0.000 0.000 0.000
0.088 0.422 0.262
0.246 0.246 0.738
0.422 0.088 0.262
0.578 0.912 0.738
0.754 0.754 0.262
0.912 0.578 0.738
0.333 0.667 0.000
0.667 0.333 0.000
0.167 0.833 0.500
0.500 0.500 0.500
0.833 0.167 0.500
```